# 1
## LiPu2HfS4 (PBE-GGA)

Data for a relaxed structure of LiPu2HfS4.

Values from the calculation:
- magnetic moment (μB/cell) = 0.06
- uncorrected formation energy (eV per atom) = -1.57
- D(E_F) (states/eV per cell) = 17.7

```
data_LiPu2HfS4
_chemical_formula_sum 'Li1 Pu2 Hf1 S4'
_symmetry_space_group_name_H-M 'P 1 2/m 1'
_symmetry_Int_Tables_number 10
_cell_length_a 6.484
_cell_length_b 3.827
_cell_length_c 6.708
_cell_angle_alpha 90.00
_cell_angle_beta 110.02
_cell_angle_gamma 90.00
loop_
_symmetry_equiv_pos_as_xyz
'x,y,z'
'-x,-y,-z'
'-x,y,-z'
'x,-y,z'
loop_
_atom_site_label
_atom_site_type_symbol
_atom_site_fract_x
_atom_site_fract_y
_atom_site_fract_z
Li1 Li 0.000 0.000 0.000
Pu1 Pu 0.500 0.000 0.500
Pu2 Pu 0.500 0.500 0.000
Hf1 Hf 0.000 0.500 0.500
S1 S 0.227 0.500 0.248
S2 S 0.230 0.000 0.744
```

=====

# 2
## Li2TiBeB (PBE-GGA)

Data for a relaxed structure of Li2TiBeB.

Values from the calculation:
- offset from the most stable computed form (eV/atom) = 0.0000
- DFT formation energy (eV/atom) = 0.533
- magnetic moment (μB/cell) = 0.00
- D(E_F) (states/eV per cell) = 3.6

```
data_Li2TiBeB
_chemical_formula_sum 'Li2 Ti1 Be1 B1'
_symmetry_space_group_name_H-M 'P 4/m m m'
_symmetry_Int_Tables_number 123
_symmetry_space_group_name_Hall '-P 4 2'
_cell_length_a 4.072
_cell_length_b 4.072
_cell_length_c 4.260
_cell_angle_alpha 90.00
_cell_angle_beta 90.00
_cell_angle_gamma 90.00
loop_
_atom_site_label
_atom_site_type_symbol
_atom_site_fract_x
_atom_site_fract_y
_atom_site_fract_z
Li1 Li 0.000 0.500 0.000
Ti1 Ti 0.000 0.000 0.500
Be1 Be 0.500 0.500 0.500
B1 B 0.000 0.000 0.000
```

=====

# 3
## NiPtAu2 (PBE-GGA)

Data for a relaxed structure of NiPtAu2.

Values from the calculation:
- offset from the most stable computed form (eV/atom) = 0.0938
- DFT formation energy (eV/atom) = 0.112
- magnetic moment (μB/cell) = 1.41
- D(E_F) (states/eV per cell) = 12.1

```
data_NiPtAu2
_chemical_formula_sum 'Ni2 Pt2 Au4'
_symmetry_space_group_name_H-M 'C m m m'
_symmetry_Int_Tables_number 65
_symmetry_space_group_name_Hall '-C 2 2'
_cell_length_a 5.652
_cell_length_b 7.769
_cell_length_c 2.889
_cell_angle_alpha 90.00
_cell_angle_beta 90.00
_cell_angle_gamma 90.00
loop_
_atom_site_label
_atom_site_type_symbol
_atom_site_fract_x
_atom_site_fract_y
_atom_site_fract_z
Ni1 Ni 0.000 0.000 0.000
Pt1 Pt 0.000 0.500 0.000
Au1 Au 0.250 0.250 0.500
```

=====

# 4
## CsAg2Sb2 (PBE-GGA)

Data for a relaxed structure of CsAg2Sb2.

Values from the calculation:
- offset from the most stable computed form (eV/atom) = 0.2224
- magnetic moment (μB/cell) = 0.00
- uncorrected formation energy (eV per atom) = 0.06
- D(E_F) (states/eV per cell) = 4.2

```
data_CsAg2Sb2
_chemical_formula_sum 'Cs2 Ag4 Sb4'
_symmetry_space_group_name_H-M 'P 4/m b m'
_symmetry_Int_Tables_number 127
_symmetry_space_group_name_Hall '-P 4 2ab'
_cell_length_a 9.343
_cell_length_b 9.343
_cell_length_c 3.253
_cell_angle_alpha 90.00
_cell_angle_beta 90.00
_cell_angle_gamma 90.00
loop_
_atom_site_label
_atom_site_type_symbol
_atom_site_fract_x
_atom_site_fract_y
_atom_site_fract_z
Cs1 Cs 0.000 0.000 0.000
Ag1 Ag 0.142 0.358 0.500
Sb1 Sb 0.139 0.639 0.000
```